No. 1
VASP calculation (PBE-GGA) on a relaxed Mn2CrFe6 crystal.

POSCAR file:
```
Mn2CrFe6
1.0
5.880 -2.009 0.000
5.880 2.009 0.000
-1.780 0.000 4.361
Mn Cr Fe
2 1 6
Direct
0.111 0.111 0.046 Mn
0.889 0.889 0.954 Mn
0.000 0.000 0.500 Cr
0.223 0.223 0.615 Fe
0.333 0.333 0.168 Fe
0.445 0.445 0.724 Fe
0.555 0.555 0.276 Fe
0.667 0.667 0.832 Fe
0.777 0.777 0.385 Fe
```

Properties
volume	103.0	Å³ per cell
formation energy from the elements	57	meV/atom
electronic total energy	-8.692	eV per atom

---

No. 2
VASP calculation (PBE-GGA) on a relaxed ReAsW crystal.

POSCAR file:
```
ReAsW
1.0
2.991 0.000 0.000
0.000 2.991 0.000
0.000 0.000 10.152
Re As W
2 2 2
Direct
0.000 0.000 0.000 Re
0.500 0.500 0.500 Re
0.000 0.000 0.348 As
0.500 0.500 0.848 As
0.000 0.000 0.680 W
0.500 0.500 0.180 W
```

Properties
volume	90.8	Å³ per cell
formation energy from the elements	222	meV/atom
electronic total energy	-9.795	eV per atom
distance to the lowest polymorph of the same formula	10.4	meV per atom

---

No. 3
VASP calculation (PBE-GGA) on a relaxed SiB crystal.

POSCAR file:
```
SiB
1.0
3.449 0.000 0.000
0.000 9.775 0.000
0.000 0.000 4.823
Si B
6 6
Direct
0.250 0.096 0.009 Si
0.250 0.404 0.009 Si
0.250 0.750 0.482 Si
0.750 0.250 0.518 Si
0.750 0.596 0.991 Si
0.750 0.904 0.991 Si
0.250 0.250 0.295 B
0.250 0.591 0.216 B
0.250 0.909 0.216 B
0.750 0.091 0.784 B
0.750 0.409 0.784 B
0.750 0.750 0.705 B
```

Properties
volume	162.6	Å³ per cell
electronic total energy	-5.571	eV per atom
distance to the lowest polymorph of the same formula	279.2	meV per atom
raw formation energy	0.479	eV/atom

---

No. 4
VASP calculation (PBE-GGA) on a relaxed Dy3TmIr4 crystal.

POSCAR file:
```
Dy3TmIr4
1.0
3.572 0.000 0.000
0.000 4.717 0.000
0.000 0.000 9.436
Dy Tm Ir
3 1 4
Direct
0.000 0.000 0.000 Dy
0.000 0.500 0.251 Dy
0.000 0.500 0.749 Dy
0.000 0.000 0.500 Tm
0.500 0.000 0.253 Ir
0.500 0.000 0.747 Ir
0.500 0.500 0.000 Ir
0.500 0.500 0.500 Ir
```

Properties
volume	159.0	Å³ per cell
formation energy from the elements	-843	meV/atom
electronic total energy	-7.559	eV per atom

---

What are the magnetization values for these records? In order: 15.03, 0.00, 0.00, 0.00 μB/cell.